# 1
This record from OQMD via LeMat-Bulk describes a relaxed RbCu3IrSe4 crystal. The functional is PBE.

Values from the calculation:
The final energy comes out at -3.93 eV per atom.

abc: 6.213 6.213 6.213
angles: 90.00 90.00 90.00
Each line ends with the local moment (μB).
Element x y z (fractional)
Se 0.719 0.719 0.281  0.02
Se 0.281 0.719 0.719  0.01
Se 0.281 0.281 0.281  0.02
Se 0.719 0.281 0.719  0.01
Cu 0.000 0.500 0.500  0.02
Cu 0.500 0.500 0.000  0.01
Cu 0.500 0.000 0.500  0.01
Ir 0.500 0.500 0.500  0.15
Rb 0.000 0.000 0.000  0.00

# 2
This record from OQMD via LeMat-Bulk describes a relaxed U3Al2 crystal. The functional is PBE.

Values from the calculation:
The final energy comes out at -7.84 eV per atom.

abc: 7.272 7.272 6.492
angles: 124.06 55.94 120.00
Each line ends with the local moment (μB).
Element x y z (fractional)
U 0.455 0.750 0.250  0.42
U 0.045 0.545 0.250  0.41
U 0.750 0.045 0.750  0.41
U 0.545 0.250 0.750  0.42
U 0.955 0.455 0.750  0.41
U 0.250 0.955 0.250  0.41
Al 0.418 0.582 0.747  -0.01
Al 0.582 0.418 0.253  -0.01
Al 0.918 0.082 0.247  -0.01
Al 0.082 0.918 0.753  -0.01

# 3
This record from OQMD via LeMat-Bulk describes a relaxed InNi8 crystal. The functional is PBE.

Values from the calculation:
The final energy comes out at -5.19 eV per atom.

abc: 4.267 4.267 21.976
angles: 90.35 90.35 48.35
Each line ends with the local moment (μB).
Element x y z (fractional)
Ni 0.251 0.251 0.910  -0.65
Ni 0.849 0.849 0.838  -0.55
Ni 0.749 0.749 0.090  -0.65
Ni 0.950 0.950 0.946  -0.63
Ni 0.350 0.350 0.018  -0.63
Ni 0.851 0.851 0.198  -0.49
Ni 0.447 0.447 0.766  -0.38
Ni 0.149 0.149 0.802  -0.49
Ni 0.550 0.550 0.874  -0.61
Ni 0.249 0.249 0.269  -0.21
Ni 0.151 0.151 0.162  -0.55
Ni 0.650 0.650 0.982  -0.63
Ni 0.450 0.450 0.126  -0.61
Ni 0.553 0.553 0.234  -0.38
Ni 0.050 0.050 0.054  -0.63
Ni 0.751 0.751 0.731  -0.21
In 0.051 0.051 0.678  0.02
In 0.949 0.949 0.322  0.02

# 4
This record from OQMD via LeMat-Bulk describes a relaxed Li2Zn3CdAu2 crystal. The functional is PBE.

Values from the calculation:
The final energy comes out at -2.23 eV per atom.

abc: 4.469 4.469 6.360
angles: 90.00 90.00 90.00
Element x y z (fractional)
Li 0.000 0.500 0.736
Li 0.500 0.000 0.264
Zn 0.500 0.500 0.000
Zn 0.500 0.500 0.500
Zn 0.000 0.000 0.500
Au 0.000 0.500 0.268
Au 0.500 0.000 0.732
Cd 0.000 0.000 0.000

# 5
This record from OQMD via LeMat-Bulk describes a relaxed MgUGa crystal. The functional is PBE.

Values from the calculation:
The final energy comes out at -4.90 eV per atom.

abc: 4.754 4.754 4.754
angles: 60.00 60.00 60.00
Each line ends with the local moment (μB).
Element x y z (fractional)
U 0.750 0.750 0.750  2.58
Ga 0.000 0.000 0.000  -0.05
Mg 0.250 0.250 0.250  0.00

# 6
This record from OQMD via LeMat-Bulk describes a relaxed CdTc2Hg crystal. The functional is PBE.

Values from the calculation:
The calculation puts the formation energy at 0.623 eV per atom.

abc: 4.607 4.607 4.607
angles: 60.00 60.00 60.00
Element x y z (fractional)
Tc 0.000 0.000 0.000
Tc 0.250 0.250 0.250
Cd 0.750 0.750 0.750
Hg 0.500 0.500 0.500

# 7
This record from OQMD via LeMat-Bulk describes a relaxed CsScZnS3 crystal. The functional is PBE.

Values from the calculation:
The final energy comes out at -4.81 eV per atom.

abc: 10.540 3.871 14.381
angles: 90.00 90.00 90.00
Element x y z (fractional)
S 0.976 0.250 0.899
S 0.254 0.750 0.782
S 0.215 0.750 0.505
S 0.715 0.750 0.995
S 0.285 0.250 0.005
S 0.785 0.250 0.495
S 0.746 0.250 0.218
S 0.476 0.250 0.601
S 0.024 0.750 0.101
S 0.246 0.250 0.282
S 0.524 0.750 0.399
S 0.754 0.750 0.718
Zn 0.841 0.750 0.862
Zn 0.659 0.250 0.362
Zn 0.341 0.750 0.638
Zn 0.159 0.250 0.138
Cs 0.523 0.250 0.839
Cs 0.977 0.750 0.339
Cs 0.477 0.750 0.161
Cs 0.023 0.250 0.661
Sc 0.156 0.750 0.934
Sc 0.344 0.250 0.434
Sc 0.656 0.750 0.566
Sc 0.844 0.250 0.066

# 8
This record from OQMD via LeMat-Bulk describes a relaxed Y4Tl3Mo2N3 crystal. The functional is PBE.

Values from the calculation:
The final energy comes out at -7.31 eV per atom.

abc: 5.928 5.928 15.065
angles: 79.18 79.18 60.40
Element x y z (fractional)
Tl 0.286 0.418 0.251
Tl 0.582 0.714 0.249
Tl 0.124 0.876 0.750
Tl 0.876 0.124 0.250
Tl 0.418 0.286 0.751
Tl 0.714 0.582 0.749
N 0.170 0.665 0.500
N 0.335 0.830 0.000
N 0.500 0.000 0.500
N 0.830 0.335 0.500
N 0.000 0.500 0.000
N 0.665 0.170 0.000
Mo 0.520 0.366 0.435
Mo 0.634 0.480 0.065
Mo 0.366 0.520 0.935
Mo 0.480 0.634 0.565
Y 0.197 0.030 0.410
Y 0.860 0.698 0.410
Y 0.698 0.860 0.910
Y 0.302 0.140 0.090
Y 0.970 0.803 0.090
Y 0.030 0.197 0.910
Y 0.803 0.970 0.590
Y 0.140 0.302 0.590